No. 1
# PrEuHgPd

A geometry-optimized PrEuHgPd structure (PBE-GGA, Alexandria).

Results
Mass density (g/cm³): 9.4
Size of the total moment (Bohr magnetons per cell): 7.06
Crystal system: cubic
Electronic total energy (eV per cell): -22.79
Energy relative to the elements (eV per atom): -0.56

Cell lengths 5.311, 5.311, 5.311 Å; angles 60.00, 60.00, 60.00 degrees
Atoms (fractional coordinates):
Pr1 0.000 0.000 0.000
Eu1 0.500 0.500 0.500
Hg1 0.250 0.250 0.250
Pd1 0.750 0.750 0.750

No. 2
# AcTbSm2Tl4

A geometry-optimized AcTbSm2Tl4 structure (PBE-GGA, Alexandria).

Results
Mass density (g/cm³): 10.3
Size of the total moment (Bohr magnetons per cell): 0.00
Crystal system: trigonal
Electronic total energy (eV per cell): -30.36
Energy relative to the elements (eV per atom): -0.34

Cell lengths 9.662, 9.662, 9.662 Å; angles 33.36, 33.36, 33.36 degrees
Atoms (fractional coordinates):
Ac1 0.000 0.000 0.000
Tb1 0.500 0.500 0.500
Sm1 0.249 0.249 0.249
Sm2 0.751 0.751 0.751
Tl1 0.128 0.128 0.128
Tl2 0.380 0.380 0.380
Tl3 0.620 0.620 0.620
Tl4 0.872 0.872 0.872

No. 3
# Ba2Pb

A geometry-optimized Ba2Pb structure (PBE-GGA, Alexandria).

Results
Mass density (g/cm³): 6.0
Size of the total moment (Bohr magnetons per cell): 0.00
Crystal system: cubic
Electronic total energy (eV per cell): -14.26
Energy relative to the elements (eV per atom): 0.14

Cell lengths 7.232, 7.232, 7.232 Å; angles 60.00, 60.00, 60.00 degrees
Atoms (fractional coordinates):
Ba1 0.000 0.000 0.000
Ba2 0.000 0.000 0.500
Ba3 0.000 0.500 0.000
Ba4 0.500 0.000 0.000
Pb1 0.375 0.375 0.375
Pb2 0.625 0.625 0.625

No. 4
# SrLaZr2

A geometry-optimized SrLaZr2 structure (PBE-GGA, Alexandria).

Results
Mass density (g/cm³): 5.6
Size of the total moment (Bohr magnetons per cell): 0.00
Excess energy over the best structure of this formula in the dataset (meV per atom): 189
Crystal system: tetragonal
Electronic total energy (eV per cell): -22.00
Energy relative to the elements (eV per atom): 0.43

Cell lengths 3.439, 3.439, 10.313 Å; angles 90.00, 90.00, 90.00 degrees
Atoms (fractional coordinates):
Sr1 0.000 0.000 0.000
La1 0.000 0.000 0.500
Zr1 0.500 0.500 0.273
Zr2 0.500 0.500 0.727

No. 5
# Pd3PbAu

A geometry-optimized Pd3PbAu structure (PBE-GGA, Alexandria).

Results
Mass density (g/cm³): 12.8
Size of the total moment (Bohr magnetons per cell): 0.00
Excess energy over the best structure of this formula in the dataset (meV per atom): 0
Crystal system: triclinic
Electronic total energy (eV per cell): -46.02
Energy relative to the elements (eV per atom): -0.09

Cell lengths 5.183, 5.471, 7.272 Å; angles 71.90, 74.19, 81.62 degrees
Atoms (fractional coordinates):
Pd1 0.000 0.000 0.000
Pd2 0.000 0.500 0.000
Pd3 0.182 0.489 0.326
Pd4 0.363 0.289 0.676
Pd5 0.637 0.711 0.324
Pd6 0.818 0.511 0.674
Pb1 0.221 0.836 0.628
Pb2 0.779 0.164 0.372
Au1 0.482 0.228 0.048
Au2 0.518 0.772 0.952

No. 6
# VSi2Tc

A geometry-optimized VSi2Tc structure (PBE-GGA, Alexandria).

Results
Mass density (g/cm³): 6.4
Size of the total moment (Bohr magnetons per cell): 1.89
ΔE_f (raw) (meV/atom): -303.6
Excess energy over the best structure of this formula in the dataset (meV per atom): 3
Crystal system: cubic
Electronic total energy (eV per cell): -31.55

Cell lengths 4.217, 4.217, 4.217 Å; angles 60.00, 60.00, 60.00 degrees
Atoms (fractional coordinates):
V1 0.000 0.000 0.000
Si1 0.250 0.250 0.250
Si2 0.750 0.750 0.750
Tc1 0.500 0.500 0.500

No. 7
# CsCr3Mo

A geometry-optimized CsCr3Mo structure (PBE-GGA, Alexandria).

Results
Mass density (g/cm³): 5.1
Size of the total moment (Bohr magnetons per cell): 9.40
Crystal system: cubic
Electronic total energy (eV per cell): -33.18
Energy relative to the elements (eV per atom): 1.48

Cell lengths 5.008, 5.008, 5.008 Å; angles 90.00, 90.00, 90.00 degrees
Atoms (fractional coordinates):
Cs1 0.000 0.000 0.000
Cr1 0.000 0.500 0.500
Cr2 0.500 0.000 0.500
Cr3 0.500 0.500 0.000
Mo1 0.500 0.500 0.500

No. 8
# AcGdHg2

A geometry-optimized AcGdHg2 structure (PBE-GGA, Alexandria).

Results
Mass density (g/cm³): 11.0
Size of the total moment (Bohr magnetons per cell): 7.65
Crystal system: tetragonal
Electronic total energy (eV per cell): -20.70
Energy relative to the elements (eV per atom): -0.48

Cell lengths 3.874, 3.874, 7.886 Å; angles 90.00, 90.00, 90.00 degrees
Atoms (fractional coordinates):
Ac1 0.000 0.000 0.000
Gd1 0.000 0.000 0.500
Hg1 0.500 0.500 0.279
Hg2 0.500 0.500 0.721

- Which of these has the highest electronic total energy?
  Ba2Pb

- Number 3 is which compound?
  Ba2Pb

- Among the records above, which one has the highest mass density?
  Pd3PbAu

- What is the mass density in the seventh record?
  5.1 g/cm³